Below is YAl2ZnF at its PBEsol-relaxed geometry, with properties calculated at the meta-GGA SCAN level.

Summary:
SG: P4/mmm, No. 123
ΔE_f (raw) in eV/atom: -0.6527
Fermi-level density of states in states/eV per atom: 0.358
E in eV/atom: -12.73
Total magnetization in μB/f.u.: 0.0

Cell and atoms, written as POSCAR:
```
YAl2ZnF
1.0
4.410 0.000 0.000
0.000 4.410 0.000
0.000 0.000 4.616
Y Al Zn F
1 2 1 1
Direct
0.000 0.000 0.000
0.000 0.500 0.500
0.500 0.000 0.500
0.500 0.500 0.000
0.000 0.000 0.500
```

=====

Below is Mg2MnAl2 at its PBEsol-relaxed geometry, with properties calculated at the meta-GGA SCAN level.

Summary:
Formation energy from the elements in meV per atom: 290
SG: I4/mmm, No. 139
Fermi-level density of states in states/eV per atom: 0.442
E in eV/atom: -8.45
Total magnetization in μB/f.u.: 4.1

Cell and atoms, written as POSCAR:
```
Mg2MnAl2
1.0
3.888 0.000 0.000
0.000 3.888 0.000
0.000 0.000 12.954
Mg Mn Al
4 2 4
Direct
0.000 0.500 0.250
0.000 0.500 0.750
0.500 0.000 0.250
0.500 0.000 0.750
0.000 0.000 0.000
0.500 0.500 0.500
0.000 0.000 0.406
0.000 0.000 0.594
0.500 0.500 0.094
0.500 0.500 0.906
```

=====

Below is KBaNa2 at its PBEsol-relaxed geometry, with properties calculated at the meta-GGA SCAN level.

Summary:
Formation energy from the elements in meV per atom: 44
SG: Fm-3m, No. 225
E above lowest polymorph in eV/atom: 0.0000
Fermi-level density of states in states/eV per atom: 0.630
E in eV/atom: -14.03
Total magnetization in μB/f.u.: 0.0

Cell and atoms, written as POSCAR:
```
KBaNa2
1.0
9.258 0.000 0.000
0.000 9.258 0.000
0.000 0.000 9.258
K Ba Na
4 4 8
Direct
0.000 0.000 0.000
0.000 0.500 0.500
0.500 0.000 0.500
0.500 0.500 0.000
0.000 0.000 0.500
0.000 0.500 0.000
0.500 0.000 0.000
0.500 0.500 0.500
0.250 0.250 0.250
0.250 0.250 0.750
0.250 0.750 0.250
0.250 0.750 0.750
0.750 0.250 0.250
0.750 0.250 0.750
0.750 0.750 0.250
0.750 0.750 0.750
```

=====

Below is TaRhSe2 at its PBEsol-relaxed geometry, with properties calculated at the meta-GGA SCAN level.

Summary:
SG: P4/mmm, No. 123
E above lowest polymorph in eV/atom: 0.4018
ΔE_f (raw) in eV/atom: -0.0658
Fermi-level density of states in states/eV per atom: 0.670
E in eV/atom: -35.19
Total magnetization in μB/f.u.: 0.0

Cell and atoms, written as POSCAR:
```
TaRhSe2
1.0
4.384 0.000 0.000
0.000 4.384 0.000
0.000 0.000 3.244
Ta Rh Se
1 1 2
Direct
0.000 0.000 0.000
0.500 0.500 0.000
0.000 0.500 0.500
0.500 0.000 0.500
```